Entry 1:
A plane-wave DFT calculation with PBE-GGA was carried out for YScZnPt after structural relaxation.

- DFT formation energy (meV per atom) = -807

Structure (extended XYZ):
```
4
Lattice="3.4436 0.0000 0.0000 0.0000 3.4436 0.0000 0.0000 0.0000 6.7941" Properties=species:S:1:pos:R:3 pbc="T T T"
Y 0.0000 0.0000 0.0000
Sc 0.0000 0.0000 3.4684
Zn 1.7218 1.7218 1.9238
Pt 1.7218 1.7218 4.9437
```

***

Entry 2:
A plane-wave DFT calculation with PBE-GGA was carried out for TmAg4Sn after structural relaxation.

- DFT formation energy (meV per atom) = -151
- relative energy among the computed polymorphs (eV per formula unit) = 0.18

Structure (extended XYZ):
```
6
Lattice="0.0000 3.9663 3.9663 3.9663 0.0000 3.9663 3.9663 3.9663 0.0000" Properties=species:S:1:pos:R:3 pbc="T T T"
Tm 0.0000 0.0000 0.0000
Ag 2.9723 2.9723 2.9723
Ag 4.9603 4.9603 2.9723
Ag 4.9603 2.9723 4.9603
Ag 2.9723 4.9603 4.9603
Sn 5.9494 5.9494 5.9494
```

***

Entry 3:
A plane-wave DFT calculation with PBE-GGA was carried out for Li4Pu3PbO12 after structural relaxation.

- ΔE_f (raw) (meV/atom) = -2198

Structure (extended XYZ):
```
20
Lattice="5.6360 3.2540 2.6539 -5.6360 3.2540 2.6539 0.0000 -6.5079 2.6539" Properties=species:S:1:pos:R:3 pbc="T T T"
Li 0.0000 0.0000 0.0000
Li -2.4543 -2.2570 2.6539
Li -0.7274 3.2540 2.6539
Li -2.4543 2.2570 5.3078
Pu -4.9572 0.0000 3.9809
Pu 2.4786 -4.2931 3.9809
Pu 2.4786 4.2931 3.9809
Pb 0.0000 0.0000 3.9809
O -3.4118 -0.5985 2.6539
O -4.6987 1.6305 2.6539
O -0.5730 -2.2112 2.4778
O 0.9373 -4.8845 2.6539
O -1.6285 1.6019 2.4778
O 2.2242 -2.6555 2.6539
O -1.6285 -1.6019 5.4839
O 2.2015 0.6094 2.4778
O 1.1877 3.2540 2.6539
O -0.5730 2.2112 5.4839
O 3.7614 3.2540 2.6539
O 2.2015 -0.6094 5.4839
```

***

Entry 4:
A plane-wave DFT calculation with PBE-GGA was carried out for BPO4 after structural relaxation.

- ΔE_f (raw) (meV/atom) = -1776
- relative energy among the computed polymorphs (eV per formula unit) = 3.12

Structure (extended XYZ):
```
12
Lattice="4.2583 -2.7118 0.0000 4.2583 2.7118 0.0000 -3.6561 0.0000 6.9721" Properties=species:S:1:pos:R:3 pbc="T T T"
B 2.1291 1.3559 0.0000
B 0.3011 -1.3559 3.4860
P 1.5162 2.1821 5.2291
P 3.3442 -2.1821 1.7430
O -1.7602 0.5832 5.9805
O 0.6922 1.4780 6.2320
O 2.3401 1.4780 4.2261
O 0.0678 -0.5832 2.4945
O 4.7926 0.5832 4.4776
O 2.5203 -1.4780 2.7460
O 4.1681 -1.4780 0.7401
O 6.6206 -0.5832 0.9916
```

***

Entry 5:
A plane-wave DFT calculation with PBE-GGA was carried out for NdAl2Ag after structural relaxation.

- DFT formation energy (meV per atom) = -326
- relative energy among the computed polymorphs (eV per formula unit) = 0.25

Structure (extended XYZ):
```
4
Lattice="2.2028 1.2718 5.3318 -2.2028 1.2718 5.3318 0.0000 -2.5436 5.3318" Properties=species:S:1:pos:R:3 pbc="T T T"
Nd 0.0000 0.0000 0.0000
Al 0.0000 0.0000 3.3766
Al 0.0000 0.0000 12.6188
Ag 0.0000 0.0000 7.9977
```

***

Entry 6:
A plane-wave DFT calculation with PBE-GGA was carried out for NaLiNpBr6 after structural relaxation.

- ΔE_f (raw) (meV/atom) = -1377

Structure (extended XYZ):
```
18
Lattice="7.0719 0.0000 0.0000 -3.5359 6.1244 0.0000 0.0000 0.0000 13.4010" Properties=species:S:1:pos:R:3 pbc="T T T"
Na 0.0000 0.0000 0.0000
Na 0.0000 0.0000 6.7005
Li 0.0000 4.0830 3.3503
Li 3.5359 2.0415 10.0508
Np 0.0000 4.0830 10.0508
Np 3.5359 2.0415 3.3503
Br 5.8204 2.1644 1.7702
Br -1.2487 2.1661 8.4707
Br 4.7846 3.9584 4.9303
Br -2.2844 3.9600 11.6309
Br -1.0357 6.1228 8.4707
Br 1.2487 2.1661 11.6309
Br 2.5002 0.0016 1.7702
Br 1.2515 2.1644 4.9303
Br 1.0357 6.1228 11.6309
Br 2.2844 3.9600 8.4707
Br 4.5717 0.0016 4.9303
Br 2.2873 3.9584 1.7702
```

***

Entry 7:
A plane-wave DFT calculation with PBE-GGA was carried out for Th4Be3PtRh12 after structural relaxation.

- DFT formation energy (meV per atom) = -495

Structure (extended XYZ):
```
20
Lattice="-4.4251 4.4251 4.4251 4.4251 -4.4251 4.4251 4.4251 4.4251 -4.4251" Properties=species:S:1:pos:R:3 pbc="T T T"
Th 2.2126 2.2126 -2.2126
Th 2.2126 -2.2126 2.2126
Th -2.2126 2.2126 2.2126
Th 2.2126 2.2126 2.2126
Be 4.4251 0.0000 0.0000
Be 0.0000 4.4251 0.0000
Be 0.0000 0.0000 4.4251
Pt 0.0000 0.0000 0.0000
Rh 2.4304 0.0000 0.0000
Rh 6.4198 0.0000 0.0000
Rh 4.4251 2.2126 0.0000
Rh 4.4251 0.0000 2.2126
Rh 0.0000 2.4304 0.0000
Rh 0.0000 0.0000 2.4304
Rh 2.2126 4.4251 0.0000
Rh 2.2126 0.0000 4.4251
Rh 0.0000 6.4198 0.0000
Rh 0.0000 0.0000 6.4198
Rh 0.0000 4.4251 2.2126
Rh 0.0000 2.2126 4.4251
```

***

Entry 8:
A plane-wave DFT calculation with PBE-GGA was carried out for Cd2SiCl after structural relaxation.

- ΔE_f (raw) (meV/atom) = 35
- relative energy among the computed polymorphs (eV per formula unit) = 0.45

Structure (extended XYZ):
```
4
Lattice="3.2812 0.0000 0.0000 0.0000 3.4489 0.0000 0.0000 0.0000 7.6333" Properties=species:S:1:pos:R:3 pbc="T T T"
Cd 0.0000 0.0000 1.7344
Cd 0.0000 0.0000 5.8989
Si 1.6406 1.7244 0.0000
Cl 1.6406 1.7244 3.8167
```

***

Entry 9:
A plane-wave DFT calculation with PBE-GGA was carried out for Ce2Y3S8 after structural relaxation.

- ΔE_f (raw) (meV/atom) = -1844
- relative energy among the computed polymorphs (eV per formula unit) = 1.42

Structure (extended XYZ):
```
13
Lattice="4.8127 -6.7585 0.0000 4.8127 6.7585 0.0000 0.0000 0.0000 4.6760" Properties=species:S:1:pos:R:3 pbc="T T T"
Ce 4.8127 3.5794 0.0000
Ce 4.8127 -3.5794 0.0000
Y 2.1046 0.0000 2.3380
Y 4.8127 0.0000 0.0000
Y 7.5208 0.0000 2.3380
S 4.8127 5.0604 2.3380
S 2.5000 1.6510 0.0000
S 2.5000 -1.6510 0.0000
S 4.8127 1.6009 2.3380
S 4.8127 -1.6009 2.3380
S 7.1254 1.6510 0.0000
S 7.1254 -1.6510 0.0000
S 4.8127 -5.0604 2.3380
```

***

Entry 10:
A plane-wave DFT calculation with PBE-GGA was carried out for SiAs2Cl after structural relaxation.

- ΔE_f (raw) (meV/atom) = 451
- relative energy among the computed polymorphs (eV per formula unit) = 2.02

Structure (extended XYZ):
```
4
Lattice="0.0000 3.3043 3.3043 3.3043 0.0000 3.3043 3.3043 3.3043 0.0000" Properties=species:S:1:pos:R:3 pbc="T T T"
Si 0.0000 0.0000 0.0000
As 1.6521 1.6521 1.6521
As 4.9564 4.9564 4.9564
Cl 3.3043 3.3043 3.3043
```

***

Entry 11:
A plane-wave DFT calculation with PBE-GGA was carried out for Ca2CoAg2 after structural relaxation.

- DFT formation energy (meV per atom) = 90

Structure (extended XYZ):
```
10
Lattice="7.2561 0.0000 0.0000 0.0000 7.2561 0.0000 0.0000 0.0000 4.4200" Properties=species:S:1:pos:R:3 pbc="T T T"
Ca 1.2725 2.3556 0.0000
Ca 2.3556 5.9836 0.0000
Ca 4.9005 1.2725 0.0000
Ca 5.9836 4.9005 0.0000
Co 0.0000 0.0000 2.2100
Co 3.6280 3.6280 2.2100
Ag 0.9907 4.6188 2.2100
Ag 2.6373 0.9907 2.2100
Ag 4.6188 6.2654 2.2100
Ag 6.2654 2.6373 2.2100
```

***

Entry 12:
A plane-wave DFT calculation with PBE-GGA was carried out for TbHoMgZr after structural relaxation.

- DFT formation energy (meV per atom) = 128

Structure (extended XYZ):
```
4
Lattice="0.0000 3.7802 3.7802 3.7802 0.0000 3.7802 3.7802 3.7802 0.0000" Properties=species:S:1:pos:R:3 pbc="T T T"
Tb 0.0000 0.0000 0.0000
Ho 3.7802 3.7802 3.7802
Mg 5.6703 5.6703 5.6703
Zr 1.8901 1.8901 1.8901
```

***

Entry 13:
A plane-wave DFT calculation with PBE-GGA was carried out for LiY2Ge4Pd3 after structural relaxation.

- DFT formation energy (meV per atom) = -728

Structure (extended XYZ):
```
10
Lattice="4.1143 0.0000 0.0000 0.0000 4.1143 0.0000 0.0000 0.0000 10.9649" Properties=species:S:1:pos:R:3 pbc="T T T"
Li 0.0000 0.0000 0.0000
Y 0.0000 2.0571 8.3326
Y 2.0571 0.0000 2.6323
Ge 0.0000 0.0000 5.4825
Ge 0.0000 2.0571 1.4966
Ge 2.0571 0.0000 9.4683
Ge 2.0571 2.0571 5.4825
Pd 0.0000 2.0571 3.9577
Pd 2.0571 0.0000 7.0072
Pd 2.0571 2.0571 0.0000
```

***

Entry 14:
A plane-wave DFT calculation with PBE-GGA was carried out for Na3Bi5Au6 after structural relaxation.

- DFT formation energy (meV per atom) = -173

Structure (extended XYZ):
```
14
Lattice="-2.3602 5.4196 7.1889 2.3602 -5.4196 7.1889 2.3602 5.4196 -7.1889" Properties=species:S:1:pos:R:3 pbc="T T T"
Na 0.0000 0.0000 0.0000
Na 0.0000 0.0000 4.8189
Na 0.0000 0.0000 9.5588
Bi 2.3602 -1.6100 2.6509
Bi 2.3602 1.6100 2.6509
Bi 0.0000 5.4196 0.0000
Bi 0.0000 3.8096 4.5380
Bi 0.0000 7.0296 4.5380
Au 2.3602 -2.4939 5.5384
Au 2.3602 3.1656 0.0000
Au 0.0000 2.9257 1.6505
Au 2.3602 2.4939 5.5384
Au 0.0000 2.2539 7.1889
Au 0.0000 7.9134 1.6505
```

***

Entry 15:
A plane-wave DFT calculation with PBE-GGA was carried out for Co2CuAs after structural relaxation.

- DFT formation energy (meV per atom) = 110

Structure (extended XYZ):
```
4
Lattice="-1.7965 1.7965 3.7429 1.7965 -1.7965 3.7429 1.7965 1.7965 -3.7429" Properties=species:S:1:pos:R:3 pbc="T T T"
Co 0.0000 0.0000 0.0000
Co 0.0000 1.7965 1.8714
Cu 1.7965 0.0000 1.8714
As 0.0000 0.0000 3.7429
```

***

Entry 16:
A plane-wave DFT calculation with PBE-GGA was carried out for YHoSb after structural relaxation.

- ΔE_f (raw) (meV/atom) = -610

Structure (extended XYZ):
```
12
Lattice="8.1206 -2.1486 0.0000 8.1206 2.1486 0.0000 -0.1977 0.0000 10.5335" Properties=species:S:1:pos:R:3 pbc="T T T"
Y 0.5165 0.0000 3.7522
Y 6.5145 0.0000 1.5391
Y 9.5291 0.0000 8.9944
Y 15.5271 0.0000 6.7812
Ho 3.1280 0.0000 0.7965
Ho 3.7537 0.0000 6.9865
Ho 12.2900 0.0000 3.5469
Ho 12.9156 0.0000 9.7369
Sb 6.1624 0.0000 4.7144
Sb 6.5362 0.0000 8.7472
Sb 9.5074 0.0000 1.7863
Sb 9.8813 0.0000 5.8191
```

***

Entry 17:
A plane-wave DFT calculation with PBE-GGA was carried out for BeFeRe2Os after structural relaxation.

- DFT formation energy (meV per atom) = 1855

Structure (extended XYZ):
```
5
Lattice="4.3730 0.0000 0.0000 0.0000 4.3730 0.0000 0.0000 0.0000 4.3883" Properties=species:S:1:pos:R:3 pbc="T T T"
Be 0.0000 0.0000 0.0000
Fe 2.1865 2.1865 2.1942
Re 0.0000 2.1865 2.1942
Re 2.1865 0.0000 2.1942
Os 2.1865 2.1865 0.0000
```

***

Entry 18:
A plane-wave DFT calculation with PBE-GGA was carried out for CoTcNi3 after structural relaxation.

- DFT formation energy (meV per atom) = 1206
- relative energy among the computed polymorphs (eV per formula unit) = 5.44

Structure (extended XYZ):
```
5
Lattice="4.2187 0.0000 0.0000 0.0000 4.2187 0.0000 0.0000 0.0000 4.2187" Properties=species:S:1:pos:R:3 pbc="T T T"
Co 0.0000 0.0000 0.0000
Tc 2.1093 2.1093 2.1093
Ni 0.0000 0.0000 2.1093
Ni 0.0000 2.1093 0.0000
Ni 2.1093 0.0000 0.0000
```

***

Entry 19:
A plane-wave DFT calculation with PBE-GGA was carried out for LiNdNb4N8 after structural relaxation.

- ΔE_f (raw) (meV/atom) = -786

Structure (extended XYZ):
```
14
Lattice="3.2011 1.8482 5.2764 -3.2011 1.8482 5.2764 0.0000 -3.6963 5.2764" Properties=species:S:1:pos:R:3 pbc="T T T"
Li 0.0000 0.0000 0.0000
Nd 0.0000 0.0000 6.0358
Nb 0.0000 -1.7802 2.5980
Nb -1.5417 0.8901 2.5980
Nb 1.5417 0.8901 2.5980
Nb 0.0000 0.0000 9.8774
N 0.0000 0.0000 3.7494
N 0.0000 -2.1225 6.8336
N -1.8381 1.0612 6.8336
N -1.5637 -0.9028 9.1222
N 1.5637 -0.9028 9.1222
N 0.0000 1.8055 9.1222
N 0.0000 0.0000 12.0342
N 1.8381 1.0612 6.8336
```

***

Entry 20:
A plane-wave DFT calculation with PBE-GGA was carried out for CaCdGePb after structural relaxation.

- DFT formation energy (meV per atom) = -170

Structure (extended XYZ):
```
4
Lattice="0.0000 3.7591 3.7591 3.7591 0.0000 3.7591 3.7591 3.7591 0.0000" Properties=species:S:1:pos:R:3 pbc="T T T"
Ca 0.0000 0.0000 0.0000
Cd 1.8795 1.8795 1.8795
Ge 5.6386 5.6386 5.6386
Pb 3.7591 3.7591 3.7591
```

***

Entry 21:
A plane-wave DFT calculation with PBE-GGA was carried out for BaTcS3 after structural relaxation.

- ΔE_f (raw) (meV/atom) = 1149
- relative energy among the computed polymorphs (eV per formula unit) = 10.61

Structure (extended XYZ):
```
5
Lattice="5.5914 0.0000 0.0000 0.0000 5.5914 0.0000 0.0000 0.0000 5.5914" Properties=species:S:1:pos:R:3 pbc="T T T"
Ba 0.0000 0.0000 0.0000
Tc 2.7957 2.7957 2.7957
S 0.0000 0.0000 2.7957
S 0.0000 2.7957 0.0000
S 2.7957 0.0000 0.0000
```

***

Entry 22:
A plane-wave DFT calculation with PBE-GGA was carried out for Cs2Na4ZnSn2 after structural relaxation.

- DFT formation energy (meV per atom) = -84

Structure (extended XYZ):
```
9
Lattice="6.7983 -4.2558 0.0000 6.7983 4.2558 0.0000 -0.9029 0.0000 5.7440" Properties=species:S:1:pos:R:3 pbc="T T T"
Cs 1.2658 0.0000 1.4208
Cs 11.4280 0.0000 4.3231
Na 4.4649 1.6515 1.5347
Na 8.2289 1.6515 4.2093
Na 4.4649 -1.6515 1.5347
Na 8.2289 -1.6515 4.2093
Zn 6.7983 0.0000 0.0000
Sn 3.6419 0.0000 4.3633
Sn 9.0519 0.0000 1.3807
```

***

Entry 23:
A plane-wave DFT calculation with PBE-GGA was carried out for SmY2HoN4 after structural relaxation.

- ΔE_f (raw) (meV/atom) = -1644

Structure (extended XYZ):
```
8
Lattice="6.0613 0.0000 0.0000 0.0000 3.5006 0.0000 -2.0178 0.0000 5.7163" Properties=species:S:1:pos:R:3 pbc="T T T"
Sm 0.0000 0.0000 0.0000
Y 2.0217 0.0000 2.8581
Y 3.0306 1.7503 0.0000
Ho -1.0089 1.7503 2.8581
N 0.0123 0.0000 4.2666
N 1.0216 1.7503 1.4573
N 3.0219 1.7503 4.2589
N 4.0312 0.0000 1.4497
```

***

Number 1: calculated total energy -5.835 eV/atom, total magnetic moment 0.00 μB per cell. Number 2: calculated total energy -3.464 eV/atom, total magnetic moment 0.00 μB per cell. Number 3: calculated total energy -7.891 eV/atom, total magnetic moment 6.00 μB per cell. Number 4: calculated total energy -7.096 eV/atom, total magnetic moment 0.00 μB per cell. Number 5: calculated total energy -4.102 eV/atom, total magnetic moment 0.00 μB per cell. Number 6: calculated total energy -4.289 eV/atom, total magnetic moment 6.00 μB per cell. Number 7: calculated total energy -7.251 eV/atom, total magnetic moment 0.72 μB per cell. Number 8: calculated total energy -2.240 eV/atom, total magnetic moment 0.00 μB per cell. Number 9: calculated total energy -6.788 eV/atom, total magnetic moment 1.07 μB per cell. Number 10: calculated total energy -3.691 eV/atom, total magnetic moment 0.00 μB per cell. Number 11: calculated total energy -3.272 eV/atom, total magnetic moment 3.03 μB per cell. Number 12: calculated total energy -4.709 eV/atom, total magnetic moment 2.03 μB per cell. Number 13: calculated total energy -5.617 eV/atom, total magnetic moment 0.00 μB per cell. Number 14: calculated total energy -3.246 eV/atom, total magnetic moment 0.00 μB per cell. Number 15: calculated total energy -5.630 eV/atom, total magnetic moment 2.59 μB per cell. Number 16: calculated total energy -5.665 eV/atom, total magnetic moment 1.01 μB per cell. Number 17: calculated total energy -7.808 eV/atom, total magnetic moment 0.00 μB per cell. Number 18: calculated total energy -5.757 eV/atom, total magnetic moment 7.59 μB per cell. Number 19: calculated total energy -8.898 eV/atom, total magnetic moment 0.00 μB per cell. Number 20: calculated total energy -2.981 eV/atom, total magnetic moment 0.00 μB per cell. Number 21: calculated total energy -3.786 eV/atom, total magnetic moment 4.91 μB per cell. Number 22: calculated total energy -1.891 eV/atom, total magnetic moment 0.00 μB per cell. Number 23: calculated total energy -8.584 eV/atom, total magnetic moment 0.00 μB per cell.